# 1
# Te3Pb (PBE-GGA, optimized geometry)
# Crystal system: trigonal
# E_form (uncorrected): -118 meV per atom
# Magnetic moment: 0.000 Bohr magnetons per cell
# DOS at the Fermi energy: 10.07 states/eV per cell
data_Te3Pb
_chemical_formula_sum 'Te9 Pb3'
_cell_length_a 9.1649
_cell_length_b 9.1649
_cell_length_c 5.6397
_cell_angle_alpha 90.00
_cell_angle_beta 90.00
_cell_angle_gamma 120.00
_symmetry_space_group_name_H-M 'R -3 m'
_symmetry_Int_Tables_number 166
_symmetry_space_group_name_Hall '-R 3 2"'
loop_
_atom_site_label
_atom_site_fract_x
_atom_site_fract_y
_atom_site_fract_z
Te1 0.0000 0.5000 0.0000
Pb1 0.0000 0.0000 0.0000

# 2
# Ce3AgPt2 (PBE-GGA, optimized geometry)
# Crystal system: orthorhombic
# Formation energy from the elements: -0.3722 eV/atom
# Magnetic moment: 6.910 Bohr magnetons per cell
# DOS at the Fermi energy: 34.21 states/eV per cell
data_Ce3AgPt2
_chemical_formula_sum 'Ce6 Ag2 Pt4'
_cell_length_a 3.1708
_cell_length_b 5.5773
_cell_length_c 16.6024
_cell_angle_alpha 90.00
_cell_angle_beta 90.00
_cell_angle_gamma 90.00
_symmetry_space_group_name_H-M 'I m m m'
_symmetry_Int_Tables_number 71
_symmetry_space_group_name_Hall '-I 2 2'
loop_
_atom_site_label
_atom_site_fract_x
_atom_site_fract_y
_atom_site_fract_z
Ce1 0.0000 0.0000 0.0000
Ce2 0.0000 0.5000 0.1812
Ag1 0.0000 0.5000 0.0000
Pt1 0.0000 0.5000 0.3459

# 3
# CeY2Th (PBE-GGA, optimized geometry)
# Crystal system: trigonal
# Formation energy from the elements: 0.0804 eV/atom
# Magnetic moment: 2.097 Bohr magnetons per cell
# DOS at the Fermi energy: 26.01 states/eV per cell
data_CeY2Th
_chemical_formula_sum 'Ce3 Y6 Th3'
_cell_length_a 3.5428
_cell_length_b 3.5428
_cell_length_c 34.9208
_cell_angle_alpha 90.00
_cell_angle_beta 90.00
_cell_angle_gamma 120.00
_symmetry_space_group_name_H-M 'R 3 m'
_symmetry_Int_Tables_number 160
_symmetry_space_group_name_Hall 'R 3 -2"'
loop_
_atom_site_label
_atom_site_fract_x
_atom_site_fract_y
_atom_site_fract_z
Ce1 0.0000 0.0000 0.0000
Y1 0.0000 0.0000 0.4153
Y2 0.0000 0.0000 0.5846
Th1 0.0000 0.0000 0.1663

# 4
# AcNd2CoAu (PBE-GGA, optimized geometry)
# Crystal system: orthorhombic
# Formation energy from the elements: -0.2521 eV/atom
# Magnetic moment: 0.000 Bohr magnetons per cell
# DOS at the Fermi energy: 18.77 states/eV per cell
data_AcNd2CoAu
_chemical_formula_sum 'Ac4 Nd8 Co4 Au4'
_cell_length_a 6.8298
_cell_length_b 11.7997
_cell_length_c 6.9173
_cell_angle_alpha 90.00
_cell_angle_beta 90.00
_cell_angle_gamma 90.00
_symmetry_space_group_name_H-M 'C m c m'
_symmetry_Int_Tables_number 63
_symmetry_space_group_name_Hall '-C 2c 2'
loop_
_atom_site_label
_atom_site_fract_x
_atom_site_fract_y
_atom_site_fract_z
Ac1 0.0000 0.2488 0.2500
Nd1 0.2493 0.0000 0.0000
Co1 0.0000 0.1118 0.7500
Au1 0.0000 0.3293 0.7500

# 5
# CaY2Rh2 (PBE-GGA, optimized geometry)
# Crystal system: tetragonal
# Formation energy from the elements: -0.6309 eV/atom
# Magnetic moment: 0.000 Bohr magnetons per cell
# DOS at the Fermi energy: 5.59 states/eV per cell
data_CaY2Rh2
_chemical_formula_sum 'Ca2 Y4 Rh4'
_cell_length_a 7.9633
_cell_length_b 7.9633
_cell_length_c 3.6567
_cell_angle_alpha 90.00
_cell_angle_beta 90.00
_cell_angle_gamma 90.00
_symmetry_space_group_name_H-M 'P 4/m b m'
_symmetry_Int_Tables_number 127
_symmetry_space_group_name_Hall '-P 4 2ab'
loop_
_atom_site_label
_atom_site_fract_x
_atom_site_fract_y
_atom_site_fract_z
Ca1 0.0000 0.0000 0.0000
Y1 0.1511 0.3489 0.5000
Rh1 0.1429 0.6429 0.0000

# 6
# Mg6AgPt (PBE-GGA, optimized geometry)
# Crystal system: monoclinic
# Formation energy from the elements: -0.1240 eV/atom
# Magnetic moment: 0.000 Bohr magnetons per cell
# DOS at the Fermi energy: 6.92 states/eV per cell
data_Mg6AgPt
_chemical_formula_sum 'Mg12 Ag2 Pt2'
_cell_length_a 6.2004
_cell_length_b 10.3754
_cell_length_c 6.1492
_cell_angle_alpha 90.00
_cell_angle_beta 114.34
_cell_angle_gamma 90.00
_symmetry_space_group_name_H-M 'C 1 2/m 1'
_symmetry_Int_Tables_number 12
_symmetry_space_group_name_Hall '-C 2y'
loop_
_atom_site_label
_atom_site_fract_x
_atom_site_fract_y
_atom_site_fract_z
Mg1 0.2338 0.2004 0.2465
Mg2 0.2454 0.0000 0.7564
Ag1 0.0000 0.5000 0.5000
Pt1 0.0000 0.0000 0.0000